[1]
Crystalline Y2ErAl at its relaxed geometry, computed with PBE-GGA.

## Properties
Energy above the lowest structure with this stoichiometry   12.7 meV per atom

Cell: 3.5119 3.5119 9.0313 Å, 90.00 90.00 90.00°
Element x y z (fractional)
Y (0.0000, 0.0000, 0.2141)
Y (0.0000, 0.0000, 0.7859)
Er (0.5000, 0.5000, 0.5000)
Al (0.5000, 0.5000, 0.0000)

=====

[2]
Crystalline Y3Er2Al3 at its relaxed geometry, computed with PBE-GGA.

Cell: 11.2256 11.2256 11.2256 Å, 161.27 153.45 32.69°
Element x y z (fractional)
Y (0.0000, 0.0000, 0.0000)
Y (0.3791, 0.8791, 0.5000)
Y (0.6209, 0.1209, 0.5000)
Er (0.2309, 0.2309, 0.0000)
Er (0.7691, 0.7691, 0.0000)
Al (0.1173, 0.6173, 0.5000)
Al (0.5000, 0.5000, 0.0000)
Al (0.8827, 0.3827, 0.5000)

=====

[3]
Crystalline YEr2Al at its relaxed geometry, computed with PBE-GGA.

## Properties
Energy above the lowest structure with this stoichiometry   0.0 meV per atom

Cell: 5.2922 6.7821 6.7821 Å, 60.24 90.00 90.00°
Element x y z (fractional)
Y (0.0000, 0.2390, 0.7610)
Y (0.0000, 0.7610, 0.2390)
Er (0.0000, 0.7614, 0.7614)
Er (0.5000, 0.4136, 0.4136)
Er (0.5000, 0.4151, 0.9371)
Er (0.5000, 0.9371, 0.4151)
Al (0.0000, 0.2548, 0.2548)
Al (0.5000, 0.9199, 0.9199)

=====

no.,ΔH_f (0 K) (meV/atom)
1,-192
2,-319
3,-199